# NpInHgPd (GGA-PBE, relaxed)
data_NpInHgPd
_cell_length_a 7.080
_cell_length_b 7.080
_cell_length_c 7.080
_cell_angle_alpha 90.00
_cell_angle_beta 90.00
_cell_angle_gamma 90.00
_space_group_name_H-M_alt 'F -4 3 m'
_space_group_IT_number 216
_space_group_name_Hall 'F -4 2 3'
loop_
_atom_site_label
_atom_site_type_symbol
_atom_site_fract_x
_atom_site_fract_y
_atom_site_fract_z
Np1 Np 0.000 0.000 0.000
In1 In 0.000 0.000 0.500
Hg1 Hg 0.250 0.250 0.750
Pd1 Pd 0.250 0.250 0.250
# - Crystal system: cubic
# - N(E_F): 2.3856 states/eV/atom
# - Energy of formation from the pure elements: -0.065 eV per atom